{
  "formula": "GeMoNO2",
  "functional": "PBE+U",
  "state": "optimized geometry",
  "total_energy_ev_per_cell": -31.2,
  "n_ef_per_ev_cell": 0.18,
  "crystal_system": "tetragonal",
  "cell": [[3.637, 0.000, 0.000], [0.000, 3.637, 0.000], [0.000, 0.000, 4.118]],
  "species": ["Mo", "Ge", "O", "O", "N"],
  "frac_coords": [[0.500, 0.500, 0.500], [0.000, 0.000, 0.000], [0.000, 0.500, 0.000], [0.500, 0.000, 0.000], [0.000, 0.000, 0.500]]
}